Record 1
YMn17Os: optimized geometry, PBE.

Properties
Electronic total energy: -9.01 eV/atom
Calculated density: 8.8 Mg/m³
Crystal system: trigonal
Energy of formation: 129 meV/atom

a b c (Å): 6.1779 6.1779 6.1779
angles (deg): 81.77 81.77 81.77
Closest atoms and distances in Å follow each position.
Sites, in units of the cell vectors:
Mn 0.6473 0.1696 0.6473  8 Mn 2.36-2.58
Mn 0.6914 0.0177 0.2944  5 Mn 2.24-2.46
Mn 0.0919 0.0919 0.0919  4 Mn 2.25-2.45
Mn 0.3420 0.8792 0.3420  9 Mn 2.32-2.53
Mn 0.1696 0.6473 0.6473  8 Mn 2.36-2.58
Mn 0.8792 0.3420 0.3420  9 Mn 2.32-2.53
Mn 0.9867 0.5008 0.9867  10 Mn 2.32-2.53
Mn 0.9867 0.9867 0.5008  10 Mn 2.32-2.53
Mn 0.2944 0.0177 0.6914  5 Mn 2.24-2.46
Mn 0.6914 0.2944 0.0177  5 Mn 2.24-2.46
Mn 0.5008 0.9867 0.9867  10 Mn 2.32-2.53
Mn 0.6473 0.6473 0.1696  8 Mn 2.36-2.58
Mn 0.0177 0.6914 0.2944  5 Mn 2.24-2.46
Mn 0.0177 0.2944 0.6914  5 Mn 2.24-2.46
Mn 0.9068 0.9068 0.9068  4 Mn 2.25-2.48
Mn 0.2944 0.6914 0.0177  5 Mn 2.24-2.46
Mn 0.3420 0.3420 0.8792  9 Mn 2.32-2.53
Y 0.6550 0.6550 0.6550  19 Mn 2.93-3.17
Os 0.3379 0.3379 0.3379  13 Mn 2.74-2.99

Record 2
BAsC2: optimized geometry, PBE.

Properties
Electronic total energy: -6.85 eV/atom
Calculated density: 3.9 Mg/m³
Crystal system: orthorhombic
E above lowest polymorph: 198.2 meV/atom
Energy of formation: 596 meV/atom

a b c (Å): 2.5760 3.4583 10.4322
angles (deg): 90.00 90.00 90.00
Closest atoms and distances in Å follow each position.
Sites, in units of the cell vectors:
As 0.5000 0.5000 0.6920  1 C 1.97, 2 B 2.02
As 0.0000 0.0000 0.1920  1 C 1.97, 2 B 2.02
C 0.0000 0.0000 0.3813  2 C 1.44
C 0.5000 0.0000 0.4422  2 C 1.44, 1 B 1.57
C 0.0000 0.5000 0.9422  2 C 1.44, 1 B 1.57
C 0.5000 0.5000 0.8813  2 C 1.44
B 0.0000 0.5000 0.0923  1 C 1.57
B 0.5000 0.0000 0.5923  1 C 1.57

Record 3
YZrNb3: optimized geometry, PBE.

Properties
Electronic total energy: -7.88 eV/atom
Calculated density: 6.1 Mg/m³
Crystal system: cubic
E above lowest polymorph: 0.0 meV/atom
Energy of formation: 1163 meV/atom

a b c (Å): 4.9894 4.9894 4.9894
angles (deg): 90.00 90.00 90.00
Closest atoms and distances in Å follow each position.
Sites, in units of the cell vectors:
Y 0.5000 0.5000 0.5000  12 Nb 3.53
Nb 0.0000 0.0000 0.5000  2 Zr 2.49
Nb 0.0000 0.5000 0.0000  2 Zr 2.49
Nb 0.5000 0.0000 0.0000  2 Zr 2.49
Zr 0.0000 0.0000 0.0000  6 Nb 2.49